Record 1
An optimized crystal structure of ScPNF2, computed with PBE-GGA.

```
data_ScPNF2
_cell_length_a 3.923
_cell_length_b 3.923
_cell_length_c 4.645
_cell_angle_alpha 90.00
_cell_angle_beta 90.00
_cell_angle_gamma 90.00
_symmetry_space_group_name_H-M 'P 1'
_symmetry_Int_Tables_number 1
loop_
_symmetry_equiv_pos_as_xyz
'x,y,z'
loop_
_atom_site_label
_atom_site_type_symbol
_atom_site_fract_x
_atom_site_fract_y
_atom_site_fract_z
_atom_site_occupancy
Sc1 Sc 0.000 0.000 0.000 1
P1 P 0.500 0.500 0.500 1
N1 N 0.000 0.000 0.500 1
F1 F 0.000 0.500 0.000 1
F2 F 0.500 0.000 0.000 1
```

- ΔE to the lowest computed polymorph (eV per formula unit) = 0.00
- energy relative to the elements, uncorrected (eV per atom) = -1.232
- symmetry = P4/mmm, No. 123
- total DFT energy (no corrections) (eV per atom) = -5.99
- magnetization (μB/cell) = 1.0

Record 2
An optimized crystal structure of PSeNF2, computed with PBE-GGA.

```
data_PSeNF2
_cell_length_a 3.731
_cell_length_b 3.731
_cell_length_c 4.711
_cell_angle_alpha 90.00
_cell_angle_beta 90.00
_cell_angle_gamma 90.00
_symmetry_space_group_name_H-M 'P 1'
_symmetry_Int_Tables_number 1
loop_
_symmetry_equiv_pos_as_xyz
'x,y,z'
loop_
_atom_site_label
_atom_site_type_symbol
_atom_site_fract_x
_atom_site_fract_y
_atom_site_fract_z
_atom_site_occupancy
P1 P 0.000 0.000 0.000 1
Se1 Se 0.500 0.500 0.500 1
N1 N 0.000 0.000 0.500 1
F1 F 0.000 0.500 0.000 1
F2 F 0.500 0.000 0.000 1
```

- ΔE to the lowest computed polymorph (eV per formula unit) = 0.00
- energy relative to the elements, uncorrected (eV per atom) = 0.144
- symmetry = P4/mmm, No. 123
- total DFT energy (no corrections) (eV per atom) = -4.05
- magnetization (μB/cell) = 0.4

Record 3
An optimized crystal structure of PSeNF2, computed with PBE-GGA.

```
data_PSeNF2
_cell_length_a 4.349
_cell_length_b 4.349
_cell_length_c 3.884
_cell_angle_alpha 90.00
_cell_angle_beta 90.00
_cell_angle_gamma 90.00
_symmetry_space_group_name_H-M 'P 1'
_symmetry_Int_Tables_number 1
loop_
_symmetry_equiv_pos_as_xyz
'x,y,z'
loop_
_atom_site_label
_atom_site_type_symbol
_atom_site_fract_x
_atom_site_fract_y
_atom_site_fract_z
_atom_site_occupancy
P1 P 0.000 0.000 0.000 1
Se1 Se 0.500 0.500 0.500 1
N1 N 0.500 0.500 0.000 1
F1 F 0.000 0.500 0.500 1
F2 F 0.500 0.000 0.500 1
```

- ΔE to the lowest computed polymorph (eV per formula unit) = 2.25
- energy relative to the elements, uncorrected (eV per atom) = 0.593
- symmetry = P4/mmm, No. 123
- total DFT energy (no corrections) (eV per atom) = -3.60
- magnetization (μB/cell) = 1.9

Record 4
An optimized crystal structure of SiPNF2, computed with PBE-GGA.

```
data_SiPNF2
_cell_length_a 4.069
_cell_length_b 4.069
_cell_length_c 3.339
_cell_angle_alpha 90.00
_cell_angle_beta 90.00
_cell_angle_gamma 90.00
_symmetry_space_group_name_H-M 'P 1'
_symmetry_Int_Tables_number 1
loop_
_symmetry_equiv_pos_as_xyz
'x,y,z'
loop_
_atom_site_label
_atom_site_type_symbol
_atom_site_fract_x
_atom_site_fract_y
_atom_site_fract_z
_atom_site_occupancy
Si1 Si 0.000 0.000 0.000 1
P1 P 0.500 0.500 0.500 1
N1 N 0.000 0.000 0.500 1
F1 F 0.000 0.500 0.000 1
F2 F 0.500 0.000 0.000 1
```

- ΔE to the lowest computed polymorph (eV per formula unit) = 0.00
- energy relative to the elements, uncorrected (eV per atom) = -0.380
- symmetry = P4/mmm, No. 123
- total DFT energy (no corrections) (eV per atom) = -4.96
- magnetization (μB/cell) = 0.0

Question: Which value of ΔE to the lowest computed polymorph does entry 4 give?
Answer: 0.00 eV per formula unit